Entry 1:
{
  "formula": "La2Tb4Er",
  "functional": "PBE",
  "state": "relaxed",
  "lattice": [[7.133, 0.000, 0.000], [-1.785, 8.505, 0.000], [-1.801, -4.151, 7.729]],
  "species": ["La", "La", "La", "La", "Tb", "Tb", "Tb", "Tb", "Tb", "Tb", "Tb", "Tb", "Er", "Er"],
  "fractional_positions": [[0.000, 0.000, 0.000], [0.089, 0.534, 0.837], [0.596, 0.542, 0.836], [0.787, 0.871, 0.293], [0.174, 0.274, 0.429], [0.203, 0.101, 0.705], [0.288, 0.871, 0.294], [0.397, 0.428, 0.168], [0.493, 0.992, 0.997], [0.696, 0.099, 0.704], [0.815, 0.697, 0.568], [0.895, 0.427, 0.169], [0.313, 0.696, 0.566], [0.670, 0.272, 0.425]],
  "final_energy_ev_per_atom": -4.670,
  "rho_g_cm3": 7.7,
  "formation_energy_ev_per_atom": 0.036
}

Entry 2:
{
  "formula": "TiAg3",
  "functional": "PBE",
  "state": "relaxed",
  "lattice": [[-2.120, 2.120, 3.883], [2.120, -2.120, 3.883], [2.120, 2.120, -3.883]],
  "species": ["Ti", "Ag", "Ag", "Ag"],
  "fractional_positions": [[0.000, 0.000, 0.000], [0.250, 0.750, 0.500], [0.500, 0.500, 0.000], [0.750, 0.250, 0.500]],
  "final_energy_ev_per_atom": -3.993,
  "rho_g_cm3": 8.8,
  "formation_energy_ev_per_atom": 0.120
}

Entry 3:
{
  "formula": "TiGaNO2",
  "functional": "PBE",
  "state": "relaxed",
  "lattice": [[3.783, 0.000, 0.000], [0.000, 3.783, 0.000], [0.000, 0.000, 4.178]],
  "species": ["Ti", "Ga", "N", "O", "O"],
  "fractional_positions": [[0.000, 0.000, 0.000], [0.500, 0.500, 0.500], [0.000, 0.000, 0.500], [0.000, 0.500, 0.000], [0.500, 0.000, 0.000]],
  "e_form_raw_ev_per_atom": -1.04,
  "final_energy_ev_per_atom": -6.876,
  "rho_g_cm3": 4.5
}

Entry 4:
{
  "formula": "PmSm2TlH",
  "functional": "PBE",
  "state": "relaxed",
  "lattice": [[4.973, 0.000, 0.000], [0.000, 4.973, 0.000], [0.000, 0.000, 4.950]],
  "species": ["Pm", "Sm", "Sm", "Tl", "H"],
  "fractional_positions": [[0.000, 0.000, 0.000], [0.000, 0.500, 0.500], [0.500, 0.000, 0.500], [0.500, 0.500, 0.000], [0.000, 0.000, 0.500]],
  "final_energy_ev_per_atom": -4.285,
  "rho_g_cm3": 8.8
}

Entry 5:
{
  "formula": "Te2Mo3Se2S2",
  "functional": "PBE",
  "state": "relaxed",
  "lattice": [[3.348, 0.000, 0.000], [-1.674, 2.900, 0.000], [0.000, 0.000, 22.460]],
  "species": ["Te", "Te", "Mo", "Mo", "Mo", "Se", "Se", "S", "S"],
  "fractional_positions": [[0.000, 0.000, 0.000], [0.000, 0.000, 0.169], [0.000, 0.000, 0.759], [0.667, 0.333, 0.085], [0.667, 0.333, 0.448], [0.000, 0.000, 0.374], [0.000, 0.000, 0.523], [0.667, 0.333, 0.692], [0.667, 0.333, 0.826]],
  "e_form_raw_ev_per_atom": -0.56,
  "final_energy_ev_per_atom": -6.560,
  "rho_g_cm3": 5.8
}

Entry 6:
{
  "formula": "Nd3Ag2Pd",
  "functional": "PBE",
  "state": "relaxed",
  "lattice": [[3.693, 0.000, 0.000], [0.000, 3.693, 0.000], [0.000, 0.000, 11.275]],
  "species": ["Nd", "Nd", "Nd", "Ag", "Ag", "Pd"],
  "fractional_positions": [[0.000, 0.000, 0.000], [0.000, 0.000, 0.344], [0.000, 0.000, 0.656], [0.500, 0.500, 0.170], [0.500, 0.500, 0.830], [0.500, 0.500, 0.500]],
  "final_energy_ev_per_atom": -4.613,
  "rho_g_cm3": 8.2,
  "formation_energy_ev_per_atom": -0.413
}

Entry 7:
{
  "formula": "CeCdN",
  "functional": "PBE",
  "state": "relaxed",
  "lattice": [[-1.630, 1.630, 6.410], [1.630, -1.630, 6.410], [1.630, 1.630, -6.410]],
  "species": ["Ce", "Cd", "N"],
  "fractional_positions": [[0.000, 0.000, 0.000], [0.283, 0.283, 0.000], [0.535, 0.535, 0.000]],
  "e_form_raw_ev_per_atom": -0.56,
  "e_above_lowest_polymorph_kj_per_mol_atoms": 36.7,
  "final_energy_ev_per_atom": -5.621,
  "rho_g_cm3": 6.5
}

Entry 8:
{
  "formula": "Pu6ZnPd5",
  "functional": "PBE",
  "state": "relaxed",
  "lattice": [[-2.394, 3.825, 7.166], [2.394, -3.825, 7.166], [2.394, 3.825, -7.166]],
  "species": ["Pu", "Pu", "Pu", "Pu", "Pu", "Pu", "Zn", "Pd", "Pd", "Pd", "Pd", "Pd"],
  "fractional_positions": [[0.073, 0.329, 0.744], [0.239, 0.000, 0.239], [0.415, 0.671, 0.744], [0.585, 0.329, 0.256], [0.761, 0.000, 0.761], [0.927, 0.671, 0.256], [0.500, 0.500, 0.000], [0.000, 0.500, 0.500], [0.166, 0.166, 0.000], [0.344, 0.844, 0.500], [0.656, 0.156, 0.500], [0.834, 0.834, 0.000]],
  "final_energy_ev_per_atom": -9.763,
  "rho_g_cm3": 13.0,
  "formation_energy_ev_per_atom": -0.327
}

Entry 9:
{
  "formula": "Sc8GaCo2",
  "functional": "PBE",
  "state": "relaxed",
  "lattice": [[4.024, -6.087, 0.000], [4.024, 6.087, 0.000], [-1.176, 0.000, 4.670]],
  "species": ["Sc", "Sc", "Sc", "Sc", "Sc", "Sc", "Sc", "Sc", "Ga", "Co", "Co"],
  "fractional_positions": [[0.067, 0.328, 0.577], [0.245, 0.755, 0.000], [0.328, 0.067, 0.577], [0.381, 0.381, 0.193], [0.619, 0.619, 0.807], [0.672, 0.933, 0.423], [0.755, 0.245, 0.000], [0.933, 0.672, 0.423], [0.000, 0.000, 0.000], [0.311, 0.689, 0.500], [0.689, 0.311, 0.500]],
  "final_energy_ev_per_atom": -6.380,
  "rho_g_cm3": 4.0,
  "formation_energy_ev_per_atom": -0.208
}

Entry 10:
{
  "formula": "Sr5Al",
  "functional": "PBE",
  "state": "relaxed",
  "lattice": [[4.093, 0.000, 0.000], [0.000, 4.093, 0.000], [0.000, 0.000, 16.541]],
  "species": ["Sr", "Sr", "Sr", "Sr", "Sr", "Al"],
  "fractional_positions": [[0.000, 0.000, 0.000], [0.000, 0.000, 0.387], [0.000, 0.000, 0.613], [0.500, 0.500, 0.192], [0.500, 0.500, 0.808], [0.500, 0.500, 0.500]],
  "e_above_lowest_polymorph_kj_per_mol_atoms": 0.0,
  "final_energy_ev_per_atom": -2.050,
  "rho_g_cm3": 2.8,
  "formation_energy_ev_per_atom": -0.025
}

Entry 11:
{
  "formula": "NbCrSe",
  "functional": "PBE",
  "state": "relaxed",
  "lattice": [[3.287, 0.000, 0.000], [-1.643, 2.847, 0.000], [0.000, 0.000, 10.743]],
  "species": ["Nb", "Nb", "Cr", "Cr", "Se", "Se"],
  "fractional_positions": [[0.000, 0.000, 0.166], [0.000, 0.000, 0.834], [0.000, 0.000, 0.500], [0.333, 0.667, 0.000], [0.333, 0.667, 0.344], [0.333, 0.667, 0.656]],
  "e_form_raw_ev_per_atom": -0.05,
  "final_energy_ev_per_atom": -7.775,
  "rho_g_cm3": 7.4
}

> Which formula does entry 11 have?

NbCrSe